# 1
# Y2PdC

Crystalline Y2PdC at its relaxed geometry (PBE-GGA, the Alexandria database).

Calculated values
DOS(E_F): 0.10 states/eV/f.u.
Total magnetization: 0.00 μB per cell
DFT formation energy: -0.220 eV per atom

```
Y2PdC
1.0
-3.3972 3.3972 3.8284
3.3972 -3.3972 3.8284
3.3972 3.3972 -3.8284
Y Pd C
4 2 2
direct
0.0612 0.6250 0.9362 Y
0.3750 0.3112 0.4362 Y
0.6888 0.1250 0.0638 Y
0.8750 0.9388 0.5638 Y
0.2500 0.7500 0.5000 Pd
0.5000 0.5000 0.0000 Pd
0.0000 0.0000 0.0000 C
0.7500 0.2500 0.5000 C
```

***

# 2
# ScInBi3

Crystalline ScInBi3 at its relaxed geometry (PBE-GGA, the Alexandria database).

Calculated values
DOS(E_F): 6.24 states/eV/f.u.
Total magnetization: 0.00 μB per cell
DFT formation energy: 0.669 eV per atom

```
ScInBi3
1.0
5.6825 0.0000 0.0000
0.0000 5.6825 0.0000
0.0000 0.0000 5.6825
Sc In Bi
1 1 3
direct
0.0000 0.0000 0.0000 Sc
0.5000 0.5000 0.5000 In
0.0000 0.5000 0.5000 Bi
0.5000 0.0000 0.5000 Bi
0.5000 0.5000 0.0000 Bi
```